## Be3CuF (PBE)

Data for an optimized crystal structure of Be3CuF.

Cell lengths 4.119, 4.119, 4.119 Å; angles 90.00, 90.00, 90.00 degrees
Fractional positions:
1 Be 0.000 0.500 0.000
2 Be 0.000 0.000 0.500
3 Be 0.500 0.000 0.000
4 Cu 0.000 0.000 0.000
5 F 0.500 0.500 0.500

Calculated values
For the energy above the lowest structure with this stoichiometry, the calculation gives 2.34 eV/f.u. As for the space group: Pm-3m.


## Be2Cu2F7 (PBE)

Data for an optimized crystal structure of Be2Cu2F7.

Cell lengths 5.461, 5.461, 9.231 Å; angles 101.28, 101.28, 100.78 degrees
Site moments in Bohr magnetons follow the coordinates.
Fractional positions:
1 Be 0.199 0.200 0.206  0.00
2 Be 0.200 0.199 0.706  0.00
3 Be 0.800 0.801 0.294  0.00
4 Be 0.801 0.800 0.794  0.00
5 Cu 0.307 0.696 0.499  0.42
6 Cu 0.304 0.693 0.001  0.42
7 Cu 0.696 0.307 0.999  0.42
8 Cu 0.693 0.304 0.501  0.42
9 F 0.942 0.639 0.386  0.02
10 F 0.061 0.364 0.113  0.02
11 F 0.379 0.378 0.362  0.04
12 F 0.997 0.003 0.250  0.00
13 F 0.639 0.942 0.886  0.02
14 F 0.364 0.061 0.613  0.02
15 F 0.378 0.379 0.862  0.04
16 F 0.622 0.621 0.138  0.04
17 F 0.636 0.939 0.387  0.02
18 F 0.361 0.058 0.114  0.02
19 F 0.003 0.997 0.750  0.00
20 F 0.621 0.622 0.638  0.04
21 F 0.939 0.636 0.887  0.02
22 F 0.058 0.361 0.614  0.02

Calculated values
As for the space group: C2/c.


no.,raw formation energy (meV/atom),volume (Å³/cell)
1,481,70
2,-2377,257